# La2Al3Pd5

A relaxed La2Al3Pd5 crystal (GGA-PBE, Alexandria).

The structure belongs to space group Ibam (No. 72); the cell edges are 10.8738, 12.1232 and 5.9797 Å and the angles 90.00°, 90.00° and 90.00°. The asymmetric unit holds La at (0.2281, 0.1353, 0.0000), Al at (0.0000, 0.5000, 0.2500), Al at (0.0966, 0.1411, 0.5000), Pd at (0.0000, 0.0000, 0.2500), Pd at (0.0000, 0.2838, 0.2500) and Pd at (0.1745, 0.4042, 0.0000).

The electronic total energy is -5.5571 eV/atom. The density of states at the Fermi level is 23.4 states/eV/cell. The calculation puts the energy above the most stable polymorph in this dataset at 0.0 meV/atom. The value obtained for the energy of formation is -0.852 eV per atom.

# La3Al2Pd6

A relaxed La3Al2Pd6 crystal (GGA-PBE, Alexandria).

The structure belongs to space group Im-3m (No. 229); the cell edges are 9.7031, 9.7031 and 9.7031 Å and the angles 90.00°, 90.00° and 90.00°. The asymmetric unit holds La at (0.0000, 0.0000, 0.2927), Al at (0.2500, 0.2500, 0.2500) and Pd at (0.0000, 0.3283, 0.3283).

The electronic total energy is -5.7046 eV/atom. The density of states at the Fermi level is 29.5 states/eV/cell. The value obtained for the energy of formation is -0.848 eV per atom.

# La3Al7Pd4

A relaxed La3Al7Pd4 crystal (GGA-PBE, Alexandria).

The structure belongs to space group C2/m (No. 12); the cell edges are 15.9380, 4.4046 and 9.6141 Å and the angles 90.00°, 123.90° and 90.00°. The asymmetric unit holds La at (0.0000, 0.0000, 0.0000), La at (0.1911, 0.5000, 0.6928), Al at (0.0000, 0.0000, 0.5000), Al at (0.0039, 0.5000, 0.2944), Al at (0.1508, 0.0000, 0.4245), Al at (0.1795, 0.5000, 0.0235), Pd at (0.1189, 0.0000, 0.8459) and Pd at (0.1594, 0.5000, 0.2863).

The electronic total energy is -5.1723 eV/atom. The density of states at the Fermi level is 15.1 states/eV/cell. The value obtained for the energy of formation is -0.762 eV per atom.

# La8AlPd2

A relaxed La8AlPd2 crystal (GGA-PBE, Alexandria).

The structure belongs to space group Cm (No. 8); the cell edges are 9.2338, 14.0397 and 5.4632 Å and the angles 90.00°, 104.52° and 90.00°. The asymmetric unit holds La at (0.0000, 0.0000, 0.0000), La at (0.0599, 0.3803, 0.7417), La at (0.2011, 0.1117, 0.6092), La at (0.2574, 0.5000, 0.3692), La at (0.3681, 0.2460, 0.1788), Al at (0.3791, 0.0000, 0.1791) and Pd at (0.3875, 0.3199, 0.6887).

The electronic total energy is -5.1464 eV/atom. The density of states at the Fermi level is 30.2 states/eV/cell. The value obtained for the energy of formation is -0.278 eV per atom.

# LaAl3Pd

A relaxed LaAl3Pd crystal (GGA-PBE, Alexandria).

The structure belongs to space group Fmm2 (No. 42); the cell edges are 6.1768, 6.1823 and 10.7802 Å and the angles 90.00°, 90.00° and 90.00°. The asymmetric unit holds La at (0.0000, 0.0000, 0.0000), Al at (0.0000, 0.0000, 0.5895), Al at (0.2500, 0.2500, 0.2420) and Pd at (0.0000, 0.0000, 0.3581).

The electronic total energy is -4.9866 eV/atom. The density of states at the Fermi level is 9.9 states/eV/cell. The calculation puts the energy above the most stable polymorph in this dataset at 0.0 meV/atom. The value obtained for the energy of formation is -0.717 eV per atom.

# La3Al4Pd4

A relaxed La3Al4Pd4 crystal (GGA-PBE, Alexandria).

The structure belongs to space group Immm (No. 71); the cell edges are 4.3124, 7.3650 and 14.4462 Å and the angles 90.00°, 90.00° and 90.00°. The asymmetric unit holds La at (0.0000, 0.0000, 0.0000), La at (0.0000, 0.5000, 0.1192), Al at (0.0000, 0.3068, 0.3197), Pd at (0.0000, 0.0000, 0.2176) and Pd at (0.0000, 0.2130, 0.5000).

The electronic total energy is -5.4460 eV/atom. The density of states at the Fermi level is 10.7 states/eV/cell. The calculation puts the energy above the most stable polymorph in this dataset at 0.0 meV/atom. The value obtained for the energy of formation is -0.853 eV per atom.

Q: Among the records above, which one has the lowest electronic total energy?
A: La3Al2Pd6

Q: Which of these has the highest energy of formation?
A: La8AlPd2

Q: What is the electronic total energy in the third record?
A: -5.1723 eV/atom